First-principles (PBE-GGA) data for crystalline Li3In2Ga at its relaxed geometry, as listed in Alexandria via LeMat-Bulk.

Unit cell a=4.2708 b=6.9174 c=7.9962 alpha=90.00 beta=90.00 gamma=72.02
Last column: nearest neighbours and their distance in Å.
Element x y z (fractional)
Li (0.5000, 0.0000, 0.7594)  6 In 2.87-3.02, 2 Ga 2.95, 4 Li 3.09
Li (0.8301, 0.3398, 0.2352)  3 Ga 2.82-2.85, 5 In 2.92-3.08, 4 Li 3.00-3.09
In (0.0000, 0.0000, 0.0000)  8 Li 2.87-2.92, 4 Ga 3.09
Li (0.5000, 0.0000, 0.2406)  6 In 2.87-3.02, 2 Ga 2.95, 4 Li 3.09
Li (0.1699, 0.6602, 0.2352)  3 Ga 2.82-2.85, 5 In 2.92-3.08, 4 Li 3.00-3.09
Ga (0.6701, 0.6598, 0.0000)  8 Li 2.82-2.95, 2 Ga 3.00, 2 In 3.09
In (0.3329, 0.3342, 0.5000)  8 Li 3.01-3.02, 4 In 3.05-3.06
In (0.6671, 0.6658, 0.5000)  8 Li 3.01-3.02, 4 In 3.05-3.06
Li (0.1699, 0.6602, 0.7648)  3 Ga 2.82-2.85, 5 In 2.92-3.08, 4 Li 3.00-3.09
Ga (0.3299, 0.3402, 0.0000)  8 Li 2.82-2.95, 2 Ga 3.00, 2 In 3.09
Li (0.8301, 0.3398, 0.7648)  3 Ga 2.82-2.85, 5 In 2.92-3.08, 4 Li 3.00-3.09
In (0.0000, 0.0000, 0.5000)  8 Li 2.98-3.08, 4 In 3.06

The formation energy from the elements comes out at -0.25 eV per atom. The value obtained for the volume is 18.7 A^3/atom.



First-principles (PBE-GGA) data for crystalline Pm2GaPb at its relaxed geometry, as listed in Alexandria via LeMat-Bulk.

Unit cell a=4.2871 b=6.2407 c=9.2382 alpha=112.01 beta=90.00 gamma=90.00
Last column: nearest neighbours and their distance in Å.
Element x y z (fractional)
Ga (0.7500, 0.6716, 0.2923)  2 Pb 2.90, 5 Pm 3.15-3.16
Pb (0.7500, 0.6670, 0.7898)  2 Ga 2.90
Pm (0.2500, 0.7702, 0.0758)  3 Ga 3.15-3.48, 4 Pb 3.26-3.39
Pm (0.2500, 0.7840, 0.5617)  3 Ga 3.15-3.16, 3 Pb 3.27-3.41
Ga (0.2500, 0.3284, 0.7077)  2 Pb 2.90, 5 Pm 3.15-3.16
Pm (0.7500, 0.2160, 0.4383)  3 Ga 3.15-3.16, 3 Pb 3.27-3.41
Pm (0.7500, 0.2298, 0.9242)  3 Ga 3.15-3.48, 4 Pb 3.26-3.39
Pb (0.2500, 0.3330, 0.2102)  2 Ga 2.90

The formation energy from the elements comes out at -0.59 eV per atom. The value obtained for the volume is 28.6 A^3/atom.



First-principles (PBE-GGA) data for crystalline Y3PbO at its relaxed geometry, as listed in Alexandria via LeMat-Bulk.

Unit cell a=12.6173 b=8.8547 c=8.8547 alpha=81.08 beta=124.44 gamma=55.56
Last column: nearest neighbours and their distance in Å.
Element x y z (fractional)
Y (0.0988, 0.9496, 0.9153)  3 O 2.43-2.46
Y (0.0719, 0.7010, 0.6240)  1 O 2.58
Y (0.4048, 0.6758, 0.7162)  2 O 2.43-2.49
Y (0.0952, 0.2162, 0.1758)  2 O 2.43-2.49
O (0.7500, 0.4468, 0.9468)  6 Y 2.43-2.58
Pb (0.5545, 0.1862, 0.9630)  7 Y 3.16-3.42
Y (0.9012, 0.0504, 0.0847)  3 O 2.43-2.46
Y (0.5719, 0.8760, 0.7990)  1 O 2.58
Pb (0.4455, 0.8138, 0.0370)  7 Y 3.16-3.42
O (0.2500, 0.5532, 0.0532)  6 Y 2.43-2.58
Y (0.5988, 0.5847, 0.5504)  3 O 2.43-2.46
Y (0.4281, 0.1240, 0.2010)  1 O 2.58
Y (0.9281, 0.2990, 0.3760)  1 O 2.58
Y (0.9048, 0.7838, 0.8242)  2 O 2.43-2.49
O (0.2500, 0.8118, 0.3118)  6 Y 2.43-2.49
O (0.7500, 0.1882, 0.6882)  6 Y 2.43-2.49
Pb (0.9455, 0.4630, 0.6862)  7 Y 3.16-3.42
Y (0.5952, 0.3242, 0.2838)  2 O 2.43-2.49
Y (0.4012, 0.4153, 0.4496)  3 O 2.43-2.46
Pb (0.0545, 0.5370, 0.3138)  7 Y 3.16-3.42

The value obtained for the volume is 24.1 A^3/atom. The energy relative to the elements, uncorrected is -1.293 eV/atom.



First-principles (PBE-GGA) data for crystalline Na3Ge4Pt at its relaxed geometry, as listed in Alexandria via LeMat-Bulk.

Unit cell a=5.9709 b=5.5726 c=11.3090 alpha=90.00 beta=90.00 gamma=90.00
Last column: nearest neighbours and their distance in Å.
Element x y z (fractional)
Ge (0.9741, 0.2533, 0.5000)  1 Pt 2.53, 4 Ge 2.66-2.82
Na (0.1837, 0.0000, 0.7489)  1 Pt 2.94, 5 Ge 3.24-3.29
Pt (0.6737, 0.5000, 0.0000)  4 Ge 2.52-2.53
Ge (0.3222, 0.5000, 0.1239)  1 Pt 2.52, 3 Ge 2.66-2.80
Ge (0.3222, 0.5000, 0.8761)  1 Pt 2.52, 3 Ge 2.66-2.80
Na (0.4660, 0.5000, 0.5000)  2 Pt 2.91, 2 Ge 3.24
Ge (0.6778, 0.0000, 0.6239)  1 Pt 2.52, 3 Ge 2.66-2.80
Na (0.1837, 0.0000, 0.2511)  1 Pt 2.94, 5 Ge 3.24-3.29
Na (0.5340, 0.0000, 0.0000)  2 Pt 2.91, 2 Ge 3.24
Na (0.8163, 0.5000, 0.2489)  1 Pt 2.94, 5 Ge 3.24-3.29
Ge (0.0259, 0.7533, 0.0000)  1 Pt 2.53, 4 Ge 2.66-2.82
Ge (0.9741, 0.7467, 0.5000)  1 Pt 2.53, 4 Ge 2.66-2.82
Ge (0.6778, 0.0000, 0.3761)  1 Pt 2.52, 3 Ge 2.66-2.80
Ge (0.0259, 0.2467, 0.0000)  1 Pt 2.53, 4 Ge 2.66-2.82
Na (0.8163, 0.5000, 0.7511)  1 Pt 2.94, 5 Ge 3.24-3.29
Pt (0.3263, 0.0000, 0.5000)  4 Ge 2.52-2.53

The formation energy from the elements comes out at -0.24 eV per atom. The value obtained for the volume is 23.5 A^3/atom.



First-principles (PBE-GGA) data for crystalline SmY5Er2 at its relaxed geometry, as listed in Alexandria via LeMat-Bulk.

Unit cell a=5.0252 b=7.1271 c=14.2626 alpha=90.00 beta=90.00 gamma=90.00
Last column: nearest neighbours and their distance in Å.
Element x y z (fractional)
Y (0.0000, 0.4988, 0.7499)  7 Y 3.56, 4 Er 3.56, 1 Sm 3.57
Y (0.5000, 0.2493, 0.8748)  6 Y 3.56, 4 Er 3.56-3.57, 2 Sm 3.56
Y (0.0000, 0.0012, 0.2499)  7 Y 3.56, 4 Er 3.56, 1 Sm 3.57
Y (0.0000, 0.0000, 0.0000)  6 Y 3.56, 2 Sm 3.56, 4 Er 3.56
Y (0.0000, 0.5000, 0.5000)  6 Y 3.56, 2 Sm 3.56, 4 Er 3.56
Er (0.5000, 0.7490, 0.8748)  10 Y 3.56-3.57, 2 Sm 3.56
Er (0.5000, 0.7510, 0.3748)  10 Y 3.56-3.57, 2 Sm 3.56
Er (0.5000, 0.2510, 0.1252)  10 Y 3.56-3.57, 2 Sm 3.56
Sm (0.0000, 0.0000, 0.5000)  4 Er 3.56, 8 Y 3.56-3.57
Y (0.5000, 0.7493, 0.6252)  6 Y 3.56, 4 Er 3.56-3.57, 2 Sm 3.56
Y (0.5000, 0.2507, 0.3748)  6 Y 3.56, 4 Er 3.56-3.57, 2 Sm 3.56
Er (0.5000, 0.2490, 0.6252)  10 Y 3.56-3.57, 2 Sm 3.56
Y (0.0000, 0.5012, 0.2501)  7 Y 3.56, 4 Er 3.56, 1 Sm 3.57
Y (0.5000, 0.7507, 0.1252)  6 Y 3.56, 4 Er 3.56-3.57, 2 Sm 3.56
Sm (0.0000, 0.5000, 0.0000)  4 Er 3.56, 8 Y 3.56-3.57
Y (0.0000, 0.9988, 0.7501)  7 Y 3.56, 4 Er 3.56, 1 Sm 3.57

The formation energy from the elements comes out at 0.02 eV per atom. The value obtained for the volume is 31.9 A^3/atom.



First-principles (PBE-GGA) data for crystalline ReNi at its relaxed geometry, as listed in Alexandria via LeMat-Bulk.

Unit cell a=8.4640 b=8.4640 c=2.7450 alpha=90.00 beta=90.00 gamma=120.00
Last column: nearest neighbours and their distance in Å.
Element x y z (fractional)
Re (0.5098, 0.1357, 0.2500)  4 Ni 2.52-2.73, 6 Re 2.61-2.75
Re (0.8643, 0.3741, 0.2500)  4 Ni 2.52-2.73, 6 Re 2.61-2.75
Ni (0.7338, 0.7750, 0.7500)  6 Ni 2.51-2.75, 4 Re 2.52-2.73
Re (0.1357, 0.6259, 0.7500)  4 Ni 2.52-2.73, 6 Re 2.61-2.75
Ni (0.2662, 0.2250, 0.2500)  6 Ni 2.51-2.75, 4 Re 2.52-2.73
Re (0.3741, 0.5098, 0.7500)  4 Ni 2.52-2.73, 6 Re 2.61-2.75
Re (0.4902, 0.8643, 0.7500)  4 Ni 2.52-2.73, 6 Re 2.61-2.75
Ni (0.9588, 0.7338, 0.2500)  6 Ni 2.51-2.75, 4 Re 2.52-2.73
Ni (0.7750, 0.0412, 0.2500)  6 Ni 2.51-2.75, 4 Re 2.52-2.73
Re (0.6259, 0.4902, 0.2500)  4 Ni 2.52-2.73, 6 Re 2.61-2.75
Ni (0.0412, 0.2662, 0.7500)  6 Ni 2.51-2.75, 4 Re 2.52-2.73
Ni (0.2250, 0.9588, 0.7500)  6 Ni 2.51-2.75, 4 Re 2.52-2.73

The formation energy from the elements comes out at 0.40 eV per atom. The value obtained for the volume is 14.2 A^3/atom.



Number 1: Fermi-level density of states 1.71 states/eV/f.u.. Number 2: Fermi-level density of states 3.99 states/eV/f.u.. Number 3: Fermi-level density of states 3.00 states/eV/f.u.. Number 4: Fermi-level density of states 2.40 states/eV/f.u.. Number 5: Fermi-level density of states 10.35 states/eV/f.u.. Number 6: Fermi-level density of states 2.41 states/eV/f.u..